First-principles (PBE-GGA) data for a relaxed CsZrTe4Au crystal, as listed in Alexandria.

extended XYZ file:
```
14
Lattice="-2.898 -5.813 -3.584 0.546 -3.478 5.200 -7.813 6.005 4.837" Properties=species:S:1:pos:R:3 pbc="T T T"
Cs -9.322 -1.573 5.615
Cs -0.843 -1.714 0.838
Zr -5.122 -4.202 3.416
Zr -5.042 0.915 3.037
Te -5.028 2.152 5.850
Te -5.397 -3.782 -1.873
Te -5.137 -5.439 0.604
Te -4.768 0.495 8.327
Te -2.211 -4.498 2.912
Te -7.954 1.211 3.542
Te -5.368 -1.685 5.125
Te -4.796 -1.602 1.328
Au -2.825 -2.409 4.374
Au -7.339 -0.878 2.080
```

Properties
Fermi-level density of states: 6.71 states/eV/cell
Uncorrected formation energy: -0.591 eV/atom
Calculated volume: 34.030 A^3/atom
SG: No. 11
M_tot: 0.00 μB/cell
DFT total energy: -58.77 eV per cell

First-principles (PBE-GGA) data for a relaxed CsThAu2 crystal, as listed in Alexandria.

extended XYZ file:
```
4
Lattice="3.854 0.000 0.000 0.000 3.854 0.000 0.000 0.000 8.735" Properties=species:S:1:pos:R:3 pbc="T T T"
Cs 1.927 1.927 4.367
Au 0.000 0.000 7.220
Au 0.000 0.000 1.515
Th 1.927 1.927 0.000
```

Properties
Fermi-level density of states: 2.54 states/eV/cell
Formation energy: -1.6 eV per formula unit
Calculated volume: 32.444 A^3/atom
SG: No. 123
M_tot: 0.00 μB/cell
DFT total energy: -16.42 eV per cell

First-principles (PBE-GGA) data for a relaxed CsTiAu3 crystal, as listed in Alexandria.

extended XYZ file:
```
5
Lattice="5.288 0.000 0.000 0.000 5.288 0.000 0.000 0.000 5.288" Properties=species:S:1:pos:R:3 pbc="T T T"
Cs 2.644 2.644 2.644
Au 0.000 2.644 0.000
Au 0.000 0.000 2.644
Au 2.644 0.000 0.000
Ti 0.000 0.000 0.000
```

Properties
Fermi-level density of states: 3.20 states/eV/cell
E above lowest polymorph: 0.00 eV per formula unit
Formation energy: 0.4 eV per formula unit
Calculated volume: 29.581 A^3/atom
SG: No. 221
M_tot: 1.57 μB/cell
DFT total energy: -18.19 eV per cell

First-principles (PBE-GGA) data for a relaxed CsTi2Au2 crystal, as listed in Alexandria.

extended XYZ file:
```
5
Lattice="3.950 0.000 0.000 0.000 3.950 0.000 1.975 1.975 8.878" Properties=species:S:1:pos:R:3 pbc="T T T"
Cs 0.000 0.000 0.000
Au 1.975 1.975 2.563
Au 3.950 3.950 6.315
Ti 3.950 1.975 4.439
Ti 1.975 3.950 4.439
```

Properties
Fermi-level density of states: 5.62 states/eV/cell
Formation energy: 0.5 eV per formula unit
Calculated volume: 27.706 A^3/atom
SG: No. 139
M_tot: 0.00 μB/cell
DFT total energy: -22.74 eV per cell